Record 1
# Rb2Tl6Pb

A relaxed Rb2Tl6Pb crystal (PBE, Alexandria).

a = 7.5015 Å, b = 7.2328 Å, c = 7.2328 Å
α = 56.52°, β = 86.04°, γ = 86.04°
Fractional positions:
Rb (0.8685, 0.6693, 0.6693)
Rb (0.1315, 0.3307, 0.3307)
Tl (0.6745, 0.1870, 0.6608)
Tl (0.3255, 0.3392, 0.8130)
Tl (0.3255, 0.8130, 0.3392)
Tl (0.6296, 0.1845, 0.1845)
Tl (0.6745, 0.6608, 0.1870)
Tl (0.3704, 0.8155, 0.8155)
Pb (0.0000, 0.0000, 0.0000)

Values from the calculation:
For the spin magnetization, the calculation gives 0.0 Bohr magnetons per cell. Its formation energy from the elements is -0.069 eV/atom. The crystal system is monoclinic. The value obtained for the energy above the lowest structure with this stoichiometry is 0 meV/atom. The density is 8165 kg/m3.



Record 2
# RbTl3Pb

A relaxed RbTl3Pb crystal (PBE, Alexandria).

a = 5.1873 Å, b = 8.6886 Å, c = 8.4671 Å
α = 74.03°, β = 90.00°, γ = 90.00°
Fractional positions:
Pb (0.8814, 0.8929, 0.1749)
Pb (0.3811, 0.7818, 0.6310)
Tl (0.3812, 0.0784, 0.2770)
Tl (0.3806, 0.3977, 0.7826)
Tl (0.8809, 0.5965, 0.5288)
Tl (0.3812, 0.9955, 0.9090)
Tl (0.8806, 0.2771, 0.0240)
Tl (0.8810, 0.6792, 0.8970)
Rb (0.8810, 0.1325, 0.5809)
Rb (0.3809, 0.5423, 0.2251)

Values from the calculation:
For the spin magnetization, the calculation gives 0.0 Bohr magnetons per cell. Its formation energy from the elements is -0.068 eV/atom. The crystal system is monoclinic. The value obtained for the energy above the lowest structure with this stoichiometry is 0 meV/atom. The density is 8199 kg/m3.



Record 3
# Rb2TlPb2

A relaxed Rb2TlPb2 crystal (PBE, Alexandria).

a = 10.6593 Å, b = 10.6593 Å, c = 3.7229 Å
α = 90.00°, β = 90.00°, γ = 90.00°
Fractional positions:
Pb (0.3997, 0.8997, 0.0000)
Pb (0.1003, 0.3997, 0.0000)
Pb (0.8997, 0.6003, 0.0000)
Pb (0.6003, 0.1003, 0.0000)
Rb (0.8039, 0.3039, 0.5000)
Rb (0.6961, 0.8039, 0.5000)
Rb (0.3039, 0.1961, 0.5000)
Rb (0.1961, 0.6961, 0.5000)
Tl (0.5000, 0.5000, 0.0000)
Tl (0.0000, 0.0000, 0.0000)

Values from the calculation:
For the spin magnetization, the calculation gives 0.0 Bohr magnetons per cell. Its formation energy from the elements is 0.067 eV/atom. The crystal system is tetragonal. The value obtained for the energy above the lowest structure with this stoichiometry is 152 meV/atom. The density is 6200 kg/m3.



Record 4
# Rb5TlPb6

A relaxed Rb5TlPb6 crystal (PBE, Alexandria).

a = 10.6573 Å, b = 8.0501 Å, c = 8.0129 Å
α = 59.85°, β = 83.60°, γ = 77.17°
Fractional positions:
Rb (0.5000, 0.2017, 0.5965)
Rb (0.0000, 0.6636, 0.6729)
Rb (0.5000, 0.5000, 0.0000)
Rb (0.0000, 0.3364, 0.3271)
Rb (0.5000, 0.7983, 0.4035)
Pb (0.2320, 0.9228, 0.7692)
Pb (0.7680, 0.0772, 0.2308)
Pb (0.2506, 0.1410, 0.0000)
Pb (0.7680, 0.3081, 0.7692)
Pb (0.2320, 0.6919, 0.2308)
Pb (0.7494, 0.8590, 0.0000)
Tl (0.0000, 0.0000, 0.0000)

Values from the calculation:
For the spin magnetization, the calculation gives 0.0 Bohr magnetons per cell. Its formation energy from the elements is -0.020 eV/atom. The crystal system is monoclinic. The density is 5372 kg/m3.



Record 5
# RbTlPb6

A relaxed RbTlPb6 crystal (PBE, Alexandria).

a = 5.7582 Å, b = 6.4525 Å, c = 7.3593 Å
α = 90.00°, β = 90.00°, γ = 90.00°
Fractional positions:
Pb (0.5000, 0.8478, 0.7243)
Pb (0.5000, 0.8478, 0.2757)
Pb (0.0000, 0.1657, 0.7258)
Pb (0.0000, 0.7156, 0.5000)
Pb (0.0000, 0.1657, 0.2742)
Pb (0.5000, 0.2471, 0.0000)
Rb (0.0000, 0.6521, 0.0000)
Tl (0.5000, 0.3583, 0.5000)

Values from the calculation:
For the spin magnetization, the calculation gives 0.0 Bohr magnetons per cell. Its formation energy from the elements is -0.015 eV/atom. The crystal system is orthorhombic. The density is 9310 kg/m3.



Record 6
# RbTlPb2

A relaxed RbTlPb2 crystal (PBE, Alexandria).

a = 5.8002 Å, b = 5.8002 Å, c = 5.8002 Å
α = 60.00°, β = 60.00°, γ = 60.00°
Fractional positions:
Pb (0.2500, 0.2500, 0.2500)
Pb (0.7500, 0.7500, 0.7500)
Tl (0.5000, 0.5000, 0.5000)
Rb (0.0000, 0.0000, 0.0000)

Values from the calculation:
For the spin magnetization, the calculation gives 0.0 Bohr magnetons per cell. Its formation energy from the elements is 0.070 eV/atom. The crystal system is cubic. The value obtained for the energy above the lowest structure with this stoichiometry is 168 meV/atom. The density is 8475 kg/m3.



Record 7
# RbTlPb2

A relaxed RbTlPb2 crystal (PBE, Alexandria).

a = 4.5718 Å, b = 4.5718 Å, c = 15.4785 Å
α = 90.00°, β = 90.00°, γ = 90.00°
Fractional positions:
Pb (0.0000, 0.0000, 0.5000)
Pb (0.5000, 0.0000, 0.9647)
Pb (0.5000, 0.5000, 0.5000)
Pb (0.0000, 0.5000, 0.0353)
Rb (0.5000, 0.0000, 0.2150)
Rb (0.0000, 0.5000, 0.7850)
Tl (0.0000, 0.5000, 0.3460)
Tl (0.5000, 0.0000, 0.6540)

Values from the calculation:
For the spin magnetization, the calculation gives 0.0 Bohr magnetons per cell. Its formation energy from the elements is -0.030 eV/atom. The crystal system is tetragonal. The value obtained for the energy above the lowest structure with this stoichiometry is 69 meV/atom. The density is 7230 kg/m3.



Record 8
# RbTl10Pb2

A relaxed RbTl10Pb2 crystal (PBE, Alexandria).

a = 6.6073 Å, b = 8.9666 Å, c = 8.6227 Å
α = 81.89°, β = 67.47°, γ = 68.38°
Fractional positions:
Pb (0.5000, 0.5000, 0.0000)
Pb (0.0000, 0.5000, 0.0000)
Tl (0.5012, 0.7833, 0.2142)
Tl (0.0001, 0.6421, 0.3578)
Tl (0.7154, 0.7833, 0.7858)
Tl (0.4988, 0.2167, 0.7858)
Tl (0.2846, 0.2167, 0.2142)
Tl (0.5000, 0.0000, 0.5000)
Tl (0.3579, 0.6421, 0.6422)
Tl (0.0000, 0.0000, 0.5000)
Tl (0.6421, 0.3579, 0.3578)
Tl (0.9999, 0.3579, 0.6422)
Rb (0.0000, 0.0000, 0.0000)

Values from the calculation:
For the spin magnetization, the calculation gives 0.0 Bohr magnetons per cell. Its formation energy from the elements is -0.013 eV/atom. The crystal system is orthorhombic. The density is 9629 kg/m3.